1.
{"formula": "TmCo3Ge3", "functional": "PBE-GGA", "state": "relaxed", "dos_at_fermi_per_ev_cell": 15.350, "e_tot_ev_per_atom": -5.59, "formation_enthalpy_0k_mev_per_atom": 77, "relative_energy_kj_per_mol_fu": 264.7, "spacegroup": "Pm-3n", "crystal_system": "cubic", "cell": [[6.347, 0.000, 0.000], [0.000, 6.347, 0.000], [0.000, 0.000, 6.347]], "species": ["Ge", "Ge", "Ge", "Ge", "Ge", "Ge", "Co", "Co", "Co", "Co", "Co", "Co", "Tm", "Tm"], "fractional_positions": [[0.250, 0.500, 0.000], [0.500, 0.000, 0.750], [0.000, 0.250, 0.500], [0.750, 0.500, 0.000], [0.500, 0.000, 0.250], [0.000, 0.750, 0.500], [0.250, 0.000, 0.500], [0.750, 0.000, 0.500], [0.000, 0.500, 0.250], [0.500, 0.750, 0.000], [0.000, 0.500, 0.750], [0.500, 0.250, 0.000], [0.500, 0.500, 0.500], [0.000, 0.000, 0.000]]}

2.
{"formula": "CrTeMo", "functional": "PBE-GGA", "state": "relaxed", "dos_at_fermi_per_ev_cell": 4.256, "e_tot_ev_per_atom": -7.35, "relative_energy_kj_per_mol_fu": 76.7, "spacegroup": "P-6m2", "crystal_system": "hexagonal", "cell": [[3.348, 0.000, 0.000], [-1.674, 2.899, 0.000], [0.000, 0.000, 12.050]], "species": ["Mo", "Mo", "Te", "Te", "Cr", "Cr"], "fractional_positions": [[0.445, 0.889, 0.000], [0.444, 0.889, 0.500], [0.111, 0.223, 0.161], [0.111, 0.223, 0.839], [0.778, 0.555, 0.640], [0.778, 0.555, 0.360]]}

3.
{"formula": "Cs2LiF", "functional": "PBE-GGA", "state": "relaxed", "dos_at_fermi_per_ev_cell": 3.743, "e_tot_ev_per_atom": -2.53, "relative_energy_kj_per_mol_fu": 0.0, "spacegroup": "I-42d", "crystal_system": "tetragonal", "cell": [[-0.330, 7.068, -5.385], [-8.816, 0.413, 1.081], [-3.878, 7.110, 2.228]], "species": ["Cs", "Cs", "Cs", "Cs", "Li", "Li", "F", "F"], "fractional_positions": [[0.875, 0.005, 0.750], [0.375, 0.245, 0.750], [0.755, 0.125, 0.250], [0.995, 0.625, 0.250], [0.250, 0.750, 0.500], [0.500, 0.500, 0.000], [0.000, 0.000, 0.000], [0.750, 0.250, 0.500]]}

4.
{"formula": "K2YZr", "functional": "PBE-GGA", "state": "relaxed", "dos_at_fermi_per_ev_cell": 4.173, "e_tot_ev_per_atom": -3.45, "formation_enthalpy_0k_mev_per_atom": 855, "relative_energy_kj_per_mol_fu": 179.8, "spacegroup": "Cmmm", "crystal_system": "orthorhombic", "cell": [[7.642, 0.103, 0.000], [-4.891, 5.873, 0.000], [0.000, 0.000, 3.348]], "species": ["K", "K", "Zr", "Y"], "fractional_positions": [[0.500, 0.500, 0.000], [0.000, 0.000, 0.000], [0.000, 0.500, 0.500], [0.500, 0.000, 0.500]]}

The calculation returns the following M_tot values, one per record and in order: 0.000 2.746 0.000 1.961 μB/f.u..